Material: BeInCoPb
Method: DFT, PBE-GGA
State: optimized geometry

Results
Space-group type ... F-43m, No. 216

Lattice parameters (Å, degrees): 4.621 4.621 4.621 60.00 60.00 60.00
Element x y z (fractional)
Be (0.000, 0.000, 0.000)
In (0.750, 0.750, 0.750)
Co (0.500, 0.500, 0.500)
Pb (0.250, 0.250, 0.250)

Material: BeInCoPt
Method: DFT, PBE-GGA
State: optimized geometry

Results
Space-group type ... F-43m, No. 216

Lattice parameters (Å, degrees): 4.294 4.294 4.294 60.00 60.00 60.00
Element x y z (fractional)
Be (0.000, 0.000, 0.000)
In (0.500, 0.500, 0.500)
Co (0.750, 0.750, 0.750)
Pt (0.250, 0.250, 0.250)

Calculated E above lowest polymorph, 0, 0 meV/atom (same order as the records).
Calculated final energy, -3.687, -5.009 eV per atom (same order as the records).